VASP calculation (PBE) on crystalline Ac2DySe4 at its relaxed geometry.

Values from the calculation:
Final energy (eV/atom): -5.73
Size of the total moment (μB/atom): 0.000
Raw formation energy (eV/atom): -1.91
Energy relative to the lowest polymorph listed for this composition (meV per atom): 0
Volume (Å³ per cell): 213.38

a = 7.2253 Å, b = 7.2253 Å, c = 8.6829 Å
α = 119.64°, β = 119.64°, γ = 33.34°
Positions (direct):
Ac  0.1478  0.1478  0.2010
Ac  0.8522  0.8522  0.7990
Dy  0.5000  0.5000  0.5000
Se  0.1624  0.1624  0.5779
Se  0.4423  0.4423  0.1332
Se  0.5577  0.5577  0.8668
Se  0.8376  0.8376  0.4221

VASP calculation (PBE) on crystalline Ac3DySe4 at its relaxed geometry.

Values from the calculation:
Final energy (eV/atom): -5.67
Size of the total moment (μB/atom): 0.000
Raw formation energy (eV/atom): -1.81
Volume (Å³ per cell): 473.62

a = 7.6940 Å, b = 8.6562 Å, c = 7.5261 Å
α = 90.00°, β = 109.11°, γ = 90.00°
Positions (direct):
Ac  0.0000  0.1241  0.2500
Ac  0.0000  0.3744  0.7500
Ac  0.0000  0.6256  0.2500
Ac  0.0000  0.8759  0.7500
Ac  0.5000  0.1266  0.7500
Ac  0.5000  0.8734  0.2500
Dy  0.5000  0.3758  0.2500
Dy  0.5000  0.6242  0.7500
Se  0.2627  0.1361  0.0123
Se  0.2627  0.8639  0.5123
Se  0.2702  0.3857  0.4995
Se  0.2702  0.6143  0.9995
Se  0.7298  0.3857  0.0005
Se  0.7298  0.6143  0.5005
Se  0.7373  0.1361  0.4877
Se  0.7373  0.8639  0.9877

VASP calculation (PBE) on crystalline AcDy3Se4 at its relaxed geometry.

Values from the calculation:
Final energy (eV/atom): -5.74
Size of the total moment (μB/atom): 0.000
Raw formation energy (eV/atom): -1.76
Volume (Å³ per cell): 413.36

a = 4.1215 Å, b = 4.1215 Å, c = 28.0989 Å
α = 90.00°, β = 90.00°, γ = 120.00°
Positions (direct):
Ac  0.3333  0.6667  0.2500
Ac  0.6667  0.3333  0.7500
Dy  0.0000  0.0000  0.0000
Dy  0.0000  0.0000  0.5000
Dy  0.3333  0.6667  0.6167
Dy  0.3333  0.6667  0.8833
Dy  0.6667  0.3333  0.1167
Dy  0.6667  0.3333  0.3833
Se  0.0000  0.0000  0.1751
Se  0.0000  0.0000  0.3249
Se  0.0000  0.0000  0.6751
Se  0.0000  0.0000  0.8249
Se  0.3333  0.6667  0.0585
Se  0.3333  0.6667  0.4415
Se  0.6667  0.3333  0.5585
Se  0.6667  0.3333  0.9415

Which formula does entry 3 have?
AcDy3Se4